Compound: Zn2CoPt
Source: the Alexandria database
Functional: GGA-PBE
Structure: optimized geometry

energy of formation = -159 meV/atom
density of states at the Fermi level = 0.75 states/eV/atom

a b c (Å): 2.7530 2.7530 25.2249
angles (deg): 90.00 90.00 120.00
Space group R-3m (No. 166, hexagonal axes)
Symmetry-distinct sites (fractional):
1 Zn 0.0000 0.0000 0.2454
2 Co 0.0000 0.0000 0.5000
3 Pt 0.0000 0.0000 0.0000